# V2CuNiAg

An optimized crystal structure of V2CuNiAg (PBE-GGA, Alexandria via LeMat-Bulk).

Structure (extended XYZ):
```
5
Lattice="4.678 0.000 0.000 0.000 4.678 0.000 0.000 0.000 4.552" Properties=species:S:1:pos:R:3 pbc="T T T"
V 0.000 2.339 0.000
V 2.339 0.000 0.000
Cu 0.000 0.000 2.276
Ni 2.339 2.339 2.276
Ag 0.000 0.000 0.000
```

Calculated values
raw total energy = -4.2900 eV per atom
DOS(E_F) = 2.02 states/eV/atom
space group = P4/mmm

***

# Ba2AgMo

An optimized crystal structure of Ba2AgMo (PBE-GGA, Alexandria via LeMat-Bulk).

Structure (extended XYZ):
```
12
Lattice="4.020 0.000 0.000 -2.010 3.481 0.000 0.000 0.000 29.773" Properties=species:S:1:pos:R:3 pbc="T T T"
Ba 0.000 0.000 7.359
Ba 0.000 0.000 22.414
Ba 0.000 2.321 12.489
Ba 0.000 2.321 27.208
Ba 2.010 1.160 2.565
Ba 2.010 1.160 17.284
Ag 0.000 0.000 0.000
Ag 0.000 2.321 19.849
Ag 2.010 1.160 9.924
Mo 0.000 0.000 14.887
Mo 0.000 2.321 4.962
Mo 2.010 1.160 24.811
```

Calculated values
raw total energy = -3.4940 eV per atom
excess energy over the best structure of this formula in the dataset = 291 meV per atom
DOS(E_F) = 0.67 states/eV/atom
space group = R-3m

***

# Ni7Pd

An optimized crystal structure of Ni7Pd (PBE-GGA, Alexandria via LeMat-Bulk).

Structure (extended XYZ):
```
8
Lattice="5.084 0.000 0.000 -2.542 4.403 0.000 0.000 0.000 4.138" Properties=species:S:1:pos:R:3 pbc="T T T"
Ni 0.000 0.000 0.000
Ni -1.232 2.224 0.000
Ni 0.000 1.466 2.069
Ni -1.272 3.670 2.069
Ni 1.232 2.224 0.000
Ni 0.000 4.358 0.000
Ni 1.273 3.670 2.069
Pd 2.542 1.468 2.069
```

Calculated values
raw total energy = -5.6487 eV per atom
excess energy over the best structure of this formula in the dataset = 22 meV per atom
DOS(E_F) = 2.19 states/eV/atom
space group = P-6m2

***

# TcNiSe2

An optimized crystal structure of TcNiSe2 (PBE-GGA, Alexandria via LeMat-Bulk).

Structure (extended XYZ):
```
8
Lattice="3.505 0.000 0.000 0.000 3.871 0.000 0.000 0.000 12.963" Properties=species:S:1:pos:R:3 pbc="T T T"
Tc 0.000 0.000 0.000
Tc 1.752 1.935 6.482
Ni 0.000 0.000 6.482
Ni 1.752 1.935 0.000
Se 0.000 1.935 1.661
Se 0.000 1.935 11.303
Se 1.752 0.000 4.821
Se 1.752 0.000 8.142
```

Calculated values
raw formation energy = -0.76 kcal/mol of atoms
raw total energy = -5.8122 eV per atom
excess energy over the best structure of this formula in the dataset = 244 meV per atom
DOS(E_F) = 0.59 states/eV/atom
space group = Immm

***

# InCu2Tc

An optimized crystal structure of InCu2Tc (PBE-GGA, Alexandria via LeMat-Bulk).

Structure (extended XYZ):
```
8
Lattice="5.515 0.000 0.000 0.000 7.877 0.000 0.000 0.000 2.753" Properties=species:S:1:pos:R:3 pbc="T T T"
In 0.000 0.000 0.000
In 2.757 3.939 0.000
Cu 1.379 1.969 1.377
Cu 1.379 5.908 1.377
Cu 4.136 1.969 1.377
Cu 4.136 5.908 1.377
Tc 0.000 3.939 0.000
Tc 2.757 0.000 0.000
```

Calculated values
raw total energy = -5.0470 eV per atom
DOS(E_F) = 0.55 states/eV/atom
space group = Cmmm

***

# TbHo2Zn

An optimized crystal structure of TbHo2Zn (PBE-GGA, Alexandria via LeMat-Bulk).

Structure (extended XYZ):
```
4
Lattice="4.729 0.000 0.000 0.000 4.729 0.000 0.000 0.000 4.729" Properties=species:S:1:pos:R:3 pbc="T T T"
Tb 0.000 0.000 0.000
Ho 0.000 2.365 2.365
Ho 2.365 0.000 2.365
Zn 2.365 2.365 0.000
```

Calculated values
raw total energy = -3.7930 eV per atom
excess energy over the best structure of this formula in the dataset = 134 meV per atom
DOS(E_F) = 1.43 states/eV/atom
space group = P4/mmm

***

# BeZn2Ni

An optimized crystal structure of BeZn2Ni (PBE-GGA, Alexandria via LeMat-Bulk).

Structure (extended XYZ):
```
16
Lattice="6.498 0.000 0.000 0.000 6.498 0.000 0.000 0.000 4.816" Properties=species:S:1:pos:R:3 pbc="T T T"
Be 0.000 0.000 0.000
Be 0.000 3.249 1.204
Be 3.249 0.000 3.612
Be 3.249 3.249 2.408
Zn 1.514 4.873 0.602
Zn 1.624 1.514 4.214
Zn 1.624 1.734 1.806
Zn 1.734 4.873 3.010
Zn 4.763 1.624 3.010
Zn 4.873 4.763 1.806
Zn 4.873 4.983 4.214
Zn 4.983 1.624 0.602
Ni 0.000 0.000 2.408
Ni 0.000 3.249 3.612
Ni 3.249 0.000 1.204
Ni 3.249 3.249 0.000
```

Calculated values
raw total energy = -2.7644 eV per atom
DOS(E_F) = 0.32 states/eV/atom
space group = I-42d

***

# In12Sb5As3

An optimized crystal structure of In12Sb5As3 (PBE-GGA, Alexandria via LeMat-Bulk).

Structure (extended XYZ):
```
80
Lattice="-8.665 8.665 8.665 8.665 -8.665 8.665 8.665 8.665 -8.665" Properties=species:S:1:pos:R:3 pbc="T T T"
In 2.689 -0.183 1.347
In 10.307 5.679 -4.515
In 8.482 -1.347 2.689
In 13.179 -1.643 2.985
In 11.354 0.183 1.347
In 10.307 -2.985 4.515
In 1.347 2.689 -0.183
In 11.650 4.150 -1.643
In 5.679 4.515 -1.643
In 7.317 2.689 0.183
In -0.183 1.347 2.689
In 4.515 -1.643 5.679
In 8.482 7.317 -2.689
In 4.515 1.643 2.985
In 7.317 -2.689 8.482
In 5.679 -4.515 10.307
In 2.985 4.515 1.643
In 10.012 5.975 0.183
In 2.689 8.482 -1.347
In 10.307 2.985 4.150
In 4.515 10.307 -2.985
In 8.482 1.347 5.975
In 1.643 2.985 4.515
In 2.689 0.183 7.317
In 5.975 8.482 1.347
In 7.022 5.679 4.150
In 0.183 7.317 2.689
In 4.150 -1.643 11.650
In -1.643 5.679 4.515
In 5.975 0.183 10.012
In -1.347 2.689 8.482
In 5.679 4.150 7.022
In 2.985 13.179 -1.643
In 1.347 11.354 0.183
In 4.150 7.022 5.679
In 0.183 1.347 11.354
In 4.150 10.307 2.985
In 8.847 7.317 5.975
In 1.347 5.975 8.482
In 2.985 4.150 10.307
In -2.985 4.515 10.307
In 7.317 5.975 8.847
In -1.643 11.650 4.150
In -2.689 8.482 7.317
In -4.515 10.307 5.679
In 0.183 10.012 5.975
In -1.643 2.985 13.179
In 5.975 8.847 7.317
Sb 0.000 0.000 0.000
Sb 4.332 4.332 -4.332
Sb 4.332 -4.332 4.332
Sb 8.665 0.000 0.000
Sb 12.997 2.166 0.000
Sb 8.665 -4.332 6.498
Sb 6.498 8.665 -4.332
Sb 6.498 0.000 4.332
Sb 4.332 6.498 0.000
Sb 8.665 4.332 2.166
Sb -4.332 4.332 4.332
Sb 0.000 8.665 0.000
Sb 0.000 0.000 8.665
Sb 4.332 4.332 4.332
Sb 0.000 4.332 6.498
Sb 4.332 2.166 8.665
Sb 2.166 8.665 4.332
Sb 2.166 0.000 12.997
Sb 0.000 12.997 2.166
Sb -4.332 6.498 8.665
As 4.332 2.166 0.000
As 8.665 4.332 -2.166
As 2.166 0.000 4.332
As 10.831 0.000 4.332
As 0.000 4.332 2.166
As 4.332 -2.166 8.665
As 4.332 10.831 0.000
As 8.665 4.332 6.498
As -2.166 8.665 4.332
As 6.498 8.665 4.332
As 0.000 4.332 10.831
As 4.332 6.498 8.665
```

Calculated values
raw formation energy = 2.02 kcal/mol of atoms
raw total energy = -3.2834 eV per atom
DOS(E_F) = 0.41 states/eV/atom
space group = Ia-3d

***

# Nb2CdNiPb

An optimized crystal structure of Nb2CdNiPb (PBE-GGA, Alexandria via LeMat-Bulk).

Structure (extended XYZ):
```
5
Lattice="4.710 0.000 0.000 0.000 4.710 0.000 0.000 0.000 4.838" Properties=species:S:1:pos:R:3 pbc="T T T"
Nb 0.000 2.355 0.000
Nb 2.355 0.000 0.000
Cd 0.000 0.000 2.419
Ni 0.000 0.000 0.000
Pb 2.355 2.355 2.419
```

Calculated values
raw total energy = -5.4852 eV per atom
DOS(E_F) = 0.95 states/eV/atom
space group = P4/mmm

***

# VPSCl2

An optimized crystal structure of VPSCl2 (PBE-GGA, Alexandria via LeMat-Bulk).

Structure (extended XYZ):
```
5
Lattice="4.666 0.000 0.000 0.000 4.666 0.000 0.000 0.000 4.888" Properties=species:S:1:pos:R:3 pbc="T T T"
V 0.000 0.000 0.000
P 2.333 2.333 2.444
S 2.333 2.333 0.000
Cl 0.000 2.333 2.444
Cl 2.333 0.000 2.444
```

Calculated values
raw formation energy = 8.63 kcal/mol of atoms
raw total energy = -4.0958 eV per atom
excess energy over the best structure of this formula in the dataset = 321 meV per atom
DOS(E_F) = 0.85 states/eV/atom
space group = P4/mmm

***

# Sc3Zn7Ag2

An optimized crystal structure of Sc3Zn7Ag2 (PBE-GGA, Alexandria via LeMat-Bulk).

Structure (extended XYZ):
```
12
Lattice="2.641 1.525 8.586 -2.641 1.525 8.586 0.000 -3.049 8.586" Properties=species:S:1:pos:R:3 pbc="T T T"
Sc 0.000 0.000 0.000
Sc 0.000 0.000 3.697
Sc 0.000 0.000 22.061
Zn -1.352 -0.780 10.829
Zn 0.000 -1.561 14.930
Zn -1.352 0.780 14.930
Zn 0.000 0.000 12.879
Zn 1.352 -0.780 10.829
Zn 0.000 1.561 10.829
Zn 1.352 0.780 14.930
Ag 0.000 0.000 8.626
Ag 0.000 0.000 17.133
```

Calculated values
raw total energy = -3.0553 eV per atom
DOS(E_F) = 0.73 states/eV/atom
space group = R-3m

***

# BeSiAu

An optimized crystal structure of BeSiAu (PBE-GGA, Alexandria via LeMat-Bulk).

Structure (extended XYZ):
```
12
Lattice="6.889 0.000 0.000 0.000 4.007 0.000 -2.278 0.000 6.270" Properties=species:S:1:pos:R:3 pbc="T T T"
Be 1.174 0.000 1.485
Be -0.007 2.004 4.785
Be 4.618 2.004 1.485
Be 3.437 0.000 4.785
Si -1.152 0.000 5.448
Si 2.319 2.004 0.821
Si 2.292 2.004 5.448
Si 5.763 0.000 0.821
Au 0.017 2.004 2.220
Au 1.149 0.000 4.050
Au 3.462 0.000 2.220
Au 4.593 2.004 4.050
```

Calculated values
raw formation energy = 0.56 kcal/mol of atoms
raw total energy = -4.1179 eV per atom
excess energy over the best structure of this formula in the dataset = 40 meV per atom
DOS(E_F) = 0.24 states/eV/atom
space group = C2/m

***

What did the eleventh record say?
# Sc3Zn7Ag2

An optimized crystal structure of Sc3Zn7Ag2 (PBE-GGA, Alexandria via LeMat-Bulk).

Structure (extended XYZ):
```
12
Lattice="2.641 1.525 8.586 -2.641 1.525 8.586 0.000 -3.049 8.586" Properties=species:S:1:pos:R:3 pbc="T T T"
Sc 0.000 0.000 0.000
Sc 0.000 0.000 3.697
Sc 0.000 0.000 22.061
Zn -1.352 -0.780 10.829
Zn 0.000 -1.561 14.930
Zn -1.352 0.780 14.930
Zn 0.000 0.000 12.879
Zn 1.352 -0.780 10.829
Zn 0.000 1.561 10.829
Zn 1.352 0.780 14.930
Ag 0.000 0.000 8.626
Ag 0.000 0.000 17.133
```

Calculated values
raw total energy = -3.0553 eV per atom
DOS(E_F) = 0.73 states/eV/atom
space group = R-3m

***

What is the DOS(E_F) in the first record? 2.02 states/eV/atom

***

What is the DOS(E_F) in the seventh record? 0.32 states/eV/atom